A.
# Al2ZnCl

A relaxed structure of Al2ZnCl (PBE, Alexandria).

Values from the calculation:
- DOS(E_F): 1.778 states/eV/cell

Cell lengths 4.9873, 4.9873, 3.0059 Å; angles 90.00, 90.00, 90.00 degrees
Last column: nearest neighbours and their distance in Å.
Space group P4/mmm (No. 123)
One atom of each set of equivalent atoms:
Al  0.0000  0.5000  0.0000 x2  4 Cl 2.91, 4 Zn 2.91, 2 Al 3.01
Zn  0.0000  0.0000  0.5000 x1  8 Al 2.91, 2 Zn 3.01
Cl  0.5000  0.5000  0.5000 x1  8 Al 2.91, 2 Cl 3.01



B.
# Al2ZnCl

A relaxed structure of Al2ZnCl (PBE, Alexandria).

Values from the calculation:
- DOS(E_F): 12.678 states/eV/cell

Cell lengths 6.7664, 6.7664, 6.7664 Å; angles 90.00, 90.00, 90.00 degrees
Last column: nearest neighbours and their distance in Å.
Space group Fm-3m (No. 225)
One atom of each set of equivalent atoms:
Al  0.2500  0.2500  0.2500 x8  4 Cl 2.93, 4 Zn 2.93
Zn  0.0000  0.0000  0.0000 x4  8 Al 2.93
Cl  0.0000  0.0000  0.5000 x4  8 Al 2.93



Energy above the most stable structure, in kJ/mol of atoms: A 0.0; B 17.1



A.
# AlZnCl

A relaxed structure of AlZnCl (PBE, Alexandria).

Values from the calculation:
- DOS(E_F): 0.212 states/eV/cell

Cell lengths 3.1318, 3.1318, 7.8599 Å; angles 90.00, 90.00, 120.00 degrees
Last column: nearest neighbours and their distance in Å.
Space group P3m1 (No. 156)
One atom of each set of equivalent atoms:
Al  0.0000  0.0000  0.0000 x1  3 Cl 2.48, 3 Zn 2.72
Zn  0.3333  0.6667  0.7421 x1  3 Al 2.72
Cl  0.6667  0.3333  0.2162 x1  3 Al 2.48



B.
# AlZnCl

A relaxed structure of AlZnCl (PBE, Alexandria).

Values from the calculation:
- DOS(E_F): 1.615 states/eV/cell

Cell lengths 3.2491, 3.3786, 10.7924 Å; angles 90.00, 90.00, 90.00 degrees
Last column: nearest neighbours and their distance in Å.
Space group Imm2 (No. 44)
One atom of each set of equivalent atoms:
Al  0.0000  0.0000  0.0000 x2  4 Zn 2.69, 4 Cl 2.95
Zn  0.0000  0.0000  0.3771 x2  4 Al 2.69
Cl  0.0000  0.0000  0.6665 x2  4 Al 2.95, 5 Zn 3.12-3.26, 2 Cl 3.25



C.
# AlZnCl

A relaxed structure of AlZnCl (PBE, Alexandria).

Values from the calculation:
- DOS(E_F): 2.049 states/eV/cell

Cell lengths 15.6489, 3.2366, 5.6016 Å; angles 90.00, 90.00, 90.00 degrees
Last column: nearest neighbours and their distance in Å.
Space group Amm2 (No. 38)
One atom of each set of equivalent atoms:
Al  0.1350  0.0000  0.0000 x4  3 Zn 2.82
Zn  0.0000  0.0000  0.6664 x2  6 Al 2.82
Zn  0.5000  0.0000  0.8905 x2  6 Cl 2.45
Cl  0.3989  0.0000  0.5572 x4  3 Zn 2.45



D.
# AlZnCl

A relaxed structure of AlZnCl (PBE, Alexandria).

Values from the calculation:
- DOS(E_F): 1.982 states/eV/cell

Cell lengths 6.7638, 6.7638, 6.7638 Å; angles 90.00, 90.00, 90.00 degrees
Last column: nearest neighbours and their distance in Å.
Space group F-43m (No. 216)
One atom of each set of equivalent atoms:
Al  0.0000  0.0000  0.0000 x4  4 Zn 2.93, 4 Cl 2.93
Zn  0.2500  0.2500  0.7500 x4  4 Al 2.93
Cl  0.2500  0.2500  0.2500 x4  4 Al 2.93



Energy above the most stable structure, in kJ/mol of atoms: A 0.0; B 10.7; C 5.8; D 21.2



A.
# ZrAlCl

A relaxed structure of ZrAlCl (PBE, Alexandria).

Values from the calculation:
- DOS(E_F): 0.806 states/eV/cell

Cell lengths 5.1665, 4.0260, 12.5492 Å; angles 90.00, 90.34, 90.00 degrees
Last column: nearest neighbours and their distance in Å.
Space group Cm (No. 8)
One atom of each set of equivalent atoms:
Zr  0.0000  0.0000  0.0000 x2  3 Cl 2.60-2.73, 2 Al 2.77
Zr  0.0063  0.5000  0.4291 x2  3 Cl 2.60-2.73, 2 Al 2.77
Al  0.4976  0.0000  0.1516 x2  2 Al 2.56, 2 Zr 2.77
Al  0.4994  0.5000  0.2775 x2  2 Al 2.56, 2 Zr 2.77
Cl  0.1232  0.5000  0.8622 x2  3 Zr 2.60-2.73
Cl  0.1334  0.0000  0.5668 x2  3 Zr 2.60-2.73



B.
# ZrAlCl

A relaxed structure of ZrAlCl (PBE, Alexandria).

Values from the calculation:
- DOS(E_F): 0.124 states/eV/cell

Cell lengths 3.1271, 3.1271, 14.3035 Å; angles 90.00, 90.00, 90.00 degrees
Last column: nearest neighbours and their distance in Å.
Space group I4mm (No. 107)
One atom of each set of equivalent atoms:
Zr  0.0000  0.0000  0.0000 x2  4 Cl 2.84, 4 Al 2.86, 4 Zr 3.13
Al  0.0000  0.0000  0.3732 x2  4 Zr 2.86, 4 Al 3.13
Cl  0.0000  0.0000  0.6243 x2  4 Zr 2.84, 4 Cl 3.13



C.
# ZrAlCl

A relaxed structure of ZrAlCl (PBE, Alexandria).

Cell lengths 3.1869, 3.1717, 12.7045 Å; angles 90.00, 90.00, 90.00 degrees
Last column: nearest neighbours and their distance in Å.
Space group Amm2 (No. 38)
One atom of each set of equivalent atoms:
Zr  0.0000  0.0000  0.0000 x2  2 Cl 2.63, 4 Al 2.87
Al  0.5000  0.0000  0.3600 x2  1 Cl 2.48
Cl  0.5000  0.0000  0.1651 x2  1 Al 2.48, 2 Zr 2.63



D.
# ZrAlCl

A relaxed structure of ZrAlCl (PBE, Alexandria).

Values from the calculation:
- DOS(E_F): 3.492 states/eV/cell

Cell lengths 3.2426, 3.2377, 24.7061 Å; angles 90.00, 90.00, 90.00 degrees
Last column: nearest neighbours and their distance in Å.
Space group Amm2 (No. 38)
One atom of each set of equivalent atoms:
Zr  0.0000  0.0000  0.0000 x2  4 Cl 2.80, 4 Al 2.96
Zr  0.5000  0.0000  0.2887 x2  2 Cl 2.55
Al  0.0000  0.0000  0.8624 x2  4 Al 2.75, 4 Zr 2.93
Al  0.5000  0.0000  0.4240 x2  4 Al 2.75, 4 Zr 2.96
Cl  0.0000  0.0000  0.2090 x2  2 Zr 2.55
Cl  0.5000  0.0000  0.5651 x2  4 Zr 2.80



Energy above the most stable structure, in kJ/mol of atoms: A 0.0; B 28.3; C 17.1; D 3.3



A.
# Al4Co3

A relaxed structure of Al4Co3 (PBE, Alexandria).

Values from the calculation:
- DOS(E_F): 9.714 states/eV/cell

Cell lengths 4.8745, 4.8745, 4.8745 Å; angles 90.00, 90.00, 90.00 degrees
Last column: nearest neighbours and their distance in Å.
Space group P-43m (No. 215)
One atom of each set of equivalent atoms:
Al  0.1945  0.1945  0.8055 x4  3 Co 2.31
Co  0.0000  0.5000  0.5000 x3  4 Al 2.31



B.
# Al4Co3

A relaxed structure of Al4Co3 (PBE, Alexandria).

Values from the calculation:
- DOS(E_F): 6.622 states/eV/cell

Cell lengths 4.7853, 4.7853, 4.6717 Å; angles 90.00, 90.00, 120.00 degrees
Last column: nearest neighbours and their distance in Å.
Space group P6/mmm (No. 191)
One atom of each set of equivalent atoms:
Al  0.0000  0.0000  0.2469 x2  2 Al 2.31-2.37
Al  0.3333  0.6667  0.5000 x2  6 Co 2.71, 9 Al 2.76-3.01
Co  0.0000  0.5000  0.0000 x3  4 Co 2.39, 4 Al 2.66



C.
# Al4Co3

A relaxed structure of Al4Co3 (PBE, Alexandria).

Values from the calculation:
- DOS(E_F): 16.859 states/eV/cell

Cell lengths 4.0397, 4.0397, 19.3419 Å; angles 90.00, 90.00, 120.00 degrees
Last column: nearest neighbours and their distance in Å.
Space group R-3m (No. 166, hexagonal axes)
One atom of each set of equivalent atoms:
Al  0.0000  0.0000  0.1188 x6  7 Co 2.41-2.51
Al  0.0000  0.0000  0.3714 x6  5 Co 2.44-2.52
Co  0.0000  0.0000  0.2453 x6  8 Al 2.41-2.52
Co  0.0000  0.0000  0.5000 x3  8 Al 2.49-2.51, 6 Co 2.78



D.
# Al4Co3

A relaxed structure of Al4Co3 (PBE, Alexandria).

Values from the calculation:
- DOS(E_F): 8.427 states/eV/cell

Cell lengths 3.0304, 3.0304, 19.3891 Å; angles 90.00, 90.00, 90.00 degrees
Last column: nearest neighbours and their distance in Å.
Space group I4/mmm (No. 139)
One atom of each set of equivalent atoms:
Al  0.0000  0.0000  0.0681 x4  5 Co 2.52-2.76, 5 Al 2.64-2.72
Al  0.0000  0.0000  0.3455 x4  5 Co 2.40-2.62
Co  0.0000  0.0000  0.2104 x4  5 Al 2.40-2.62, 4 Co 2.64
Co  0.0000  0.0000  0.5000 x2  8 Al 2.52



Energy above the most stable structure, in kJ/mol of atoms: A 108.5; B 27.6; C 0.0; D 15.7